AgAuNO2, relaxed, DFT PBE; ΔE_f (raw) = 1.161 eV/atom; M_tot = 0.62 μB per cell; DFT total energy = -18.563 eV per cell
1.0
-4.0248 0.9041 -1.2239
-1.1038 -4.1170 0.5884
-0.9177 0.7573 3.5774
Au O Ag N
1 2 1 1
Direct
0.0000 0.0000 0.0000 Au
0.0000 0.5000 0.0000 O
0.5000 0.0000 0.0000 O
0.5000 0.5000 0.5000 Ag
0.0000 0.0000 0.5000 N